DFT (PBE+U) results for crystalline K2ZrW3O12 at its relaxed geometry.

```
K2ZrW3O12
1.0
3.7176 2.1464 6.1731
-3.7176 2.1464 6.1731
0.0000 -4.2928 6.1731
K Zr W O
2 1 3 12
direct
0.1550 0.1550 0.1550
0.8450 0.8450 0.8450
0.5000 0.5000 0.5000
0.0000 0.5000 0.5000
0.5000 0.0000 0.5000
0.5000 0.5000 0.0000
0.1668 0.5679 0.5679
0.1931 0.1931 0.5611
0.1931 0.5611 0.1931
0.4321 0.4321 0.8332
0.4321 0.8332 0.4321
0.4389 0.8069 0.8069
0.5611 0.1931 0.1931
0.5679 0.1668 0.5679
0.5679 0.5679 0.1668
0.8069 0.4389 0.8069
0.8069 0.8069 0.4389
0.8332 0.4321 0.4321
```

Properties
Density of states at the Fermi level ... 0.0 states/eV/f.u.
Uncorrected energy ... -7.38 eV per atom